CdIn2SiS: relaxed, PBE.

Cell lengths 5.5958, 5.5958, 4.8602 Å; angles 90.00, 90.00, 90.00 degrees
Last column: nearest neighbours and their distance in Å.
Space group P4/mmm (No. 123)
Symmetry-distinct sites (fractional):
Cd 0.0000 0.0000 0.0000  2 S 2.43
In 0.0000 0.5000 0.0000  2 Cd 2.80
Si 0.5000 0.5000 0.5000  8 In 3.71, 4 S 3.96
S 0.0000 0.0000 0.5000  2 Cd 2.43

## Properties
Magnetic moment, μB per atom: 0.027
D(E_F), states/eV per cell: 3.335
E_form (uncorrected), eV/atom: 0.78
Total DFT energy (no corrections), eV/atom: -2.40